Record 1
Hf5CoBi2: relaxed, PBE.

As for the crystal system: orthorhombic. The calculation puts the polymorph energy (0 for the lowest one) at 0.00 eV per formula unit.

It has space group Pbam (No. 55), with a = 7.380 Å, b = 12.307 Å, c = 3.957 Å, α = 90.00°, β = 90.00° and γ = 90.00°. The asymmetric unit holds Hf at (0.000, 0.000, 0.000), Hf at (0.144, 0.322, 0.000), Hf at (0.172, 0.576, 0.500), Co at (0.000, 0.500, 0.000) and Bi at (0.054, 0.820, 0.500).



Record 2
CaMgIn2Ag4: relaxed, PBE.

As for the raw total energy: -66.5 eV/cell. As for the crystal system: trigonal.

It has space group R-3m (No. 166, hexagonal axes), with a = 4.8319 Å, b = 4.8319 Å, c = 24.9193 Å, α = 90.00°, β = 90.00° and γ = 120.00°. The asymmetric unit holds Ca at (0.0000, 0.0000, 0.0000), Mg at (0.0000, 0.0000, 0.5000), In at (0.0000, 0.0000, 0.2506), Ag at (0.0000, 0.0000, 0.1309) and Ag at (0.0000, 0.0000, 0.3877).



Record 3
Rb2NaBiSb2: relaxed, PBE.

As for the raw formation energy: -375 meV/atom. As for the crystal system: orthorhombic.

It has space group Ibam (No. 72), with a = 7.458 Å, b = 17.174 Å, c = 7.663 Å, α = 90.00°, β = 90.00° and γ = 90.00°. The asymmetric unit holds Rb at (0.240, 0.173, 0.000), Na at (0.000, 0.000, 0.250), Bi at (0.000, 0.500, 0.250) and Sb at (0.235, 0.397, 0.000).



Record 4
Er4Tl5Ag2: relaxed, PBE.

As for the raw total energy: -38.5 eV/cell. As for the crystal system: monoclinic.

It has space group P2/m (No. 10), with a = 8.120 Å, b = 3.601 Å, c = 9.756 Å, α = 90.00°, β = 91.75° and γ = 90.00°. The asymmetric unit holds Er at (0.211, 0.000, 0.359), Er at (0.230, 0.000, 0.908), Tl at (0.135, 0.500, 0.631), Tl at (0.451, 0.500, 0.160), Tl at (0.500, 0.500, 0.500) and Ag at (0.081, 0.500, 0.128).